# GGA-PBE Tb2Er3Co2, relaxed
# total magnetic moment	0.000	Bohr magnetons per cell
# energy of formation from the pure elements	-177	meV per atom
# total energy	-5.486	eV/atom
data_Tb2Er3Co2
_chemical_formula_sum 'Tb4 Er6 Co4'
_space_group_name_H-M_alt 'C 1 2/m 1'
_space_group_IT_number 12
_cell_length_a 11.932
_cell_length_b 3.628
_cell_length_c 8.825
_cell_angle_alpha 90.00
_cell_angle_beta 116.32
_cell_angle_gamma 90.00
loop_
_space_group_symop_operation_xyz
'x,y,z'
'-x,-y,-z'
'-x,y,-z'
'x,-y,z'
'x+1/2,y+1/2,z'
'-x+1/2,-y+1/2,-z'
'-x+1/2,y+1/2,-z'
'x+1/2,-y+1/2,z'
loop_
_atom_site_label
_atom_site_fract_x
_atom_site_fract_y
_atom_site_fract_z
Tb1 0.171 0.000 0.303
Er1 0.000 0.500 0.500
Er2 0.119 0.500 0.927
Co1 0.177 0.000 0.741


# GGA-PBE Tb2ErCo6, relaxed
# total magnetic moment	4.376	Bohr magnetons per cell
# energy of formation from the pure elements	-182	meV per atom
# total energy	-6.455	eV/atom
data_Tb2ErCo6
_chemical_formula_sum 'Tb2 Er1 Co6'
_space_group_name_H-M_alt 'P 6/m m m'
_space_group_IT_number 191
_space_group_name_Hall '-P 6 2'
_cell_length_a 6.6579
_cell_length_b 6.6579
_cell_length_c 4.0343
_cell_angle_alpha 90.00
_cell_angle_beta 90.00
_cell_angle_gamma 120.00
loop_
_atom_site_label
_atom_site_fract_x
_atom_site_fract_y
_atom_site_fract_z
Tb1 0.3333 0.6667 0.0000
Er1 0.0000 0.0000 0.0000
Co1 0.0000 0.3326 0.5000


# GGA-PBE Tb2ErCo, relaxed
# total magnetic moment	0.000	Bohr magnetons per cell
# energy of formation from the pure elements	-134	meV per atom
# total energy	-5.366	eV/atom
# E above lowest polymorph	26	meV/atom
data_Tb2ErCo
_chemical_formula_sum 'Tb8 Er4 Co4'
_space_group_name_H-M_alt 'C m c m'
_space_group_IT_number 63
_space_group_name_Hall '-C 2c 2'
_cell_length_a 3.688
_cell_length_b 11.821
_cell_length_c 9.380
_cell_angle_alpha 90.00
_cell_angle_beta 90.00
_cell_angle_gamma 90.00
loop_
_atom_site_label
_atom_site_fract_x
_atom_site_fract_y
_atom_site_fract_z
Tb1 0.000 0.139 0.072
Er1 0.000 0.414 0.250
Co1 0.000 0.255 0.750


# GGA-PBE TbEr4Co4, relaxed
# total magnetic moment	0.001	Bohr magnetons per cell
# energy of formation from the pure elements	-80	meV per atom
# total energy	-5.781	eV/atom
data_TbEr4Co4
_chemical_formula_sum 'Tb2 Er8 Co8'
_space_group_name_H-M_alt 'P 42/n'
_space_group_IT_number 86
_cell_length_a 8.362
_cell_length_b 8.362
_cell_length_c 5.516
_cell_angle_alpha 90.00
_cell_angle_beta 90.00
_cell_angle_gamma 90.00
loop_
_space_group_symop_operation_xyz
'x,y,z'
'-x,-y,-z'
'-y,x+1/2,z+1/2'
'y,-x+1/2,-z+1/2'
'-x+1/2,-y+1/2,z'
'x+1/2,y+1/2,-z'
'y+1/2,-x,z+1/2'
'-y+1/2,x,-z+1/2'
loop_
_atom_site_label
_atom_site_fract_x
_atom_site_fract_y
_atom_site_fract_z
Tb1 0.250 0.250 0.250
Er1 0.063 0.673 0.132
Co1 0.014 0.612 0.617


# GGA-PBE TbEr2Co2, relaxed
# total magnetic moment	0.001	Bohr magnetons per cell
# energy of formation from the pure elements	-97	meV per atom
# total energy	-5.691	eV/atom
# E above lowest polymorph	71	meV/atom
data_TbEr2Co2
_chemical_formula_sum 'Tb2 Er4 Co4'
_space_group_name_H-M_alt 'C 1 2/m 1'
_space_group_IT_number 12
_cell_length_a 11.217
_cell_length_b 3.711
_cell_length_c 5.463
_cell_angle_alpha 90.00
_cell_angle_beta 103.70
_cell_angle_gamma 90.00
loop_
_space_group_symop_operation_xyz
'x,y,z'
'-x,-y,-z'
'-x,y,-z'
'x,-y,z'
'x+1/2,y+1/2,z'
'-x+1/2,-y+1/2,-z'
'-x+1/2,y+1/2,-z'
'x+1/2,-y+1/2,z'
loop_
_atom_site_label
_atom_site_fract_x
_atom_site_fract_y
_atom_site_fract_z
Tb1 0.000 0.000 0.000
Er1 0.149 0.500 0.582
Co1 0.217 0.500 0.105


# GGA-PBE Tb2Er2Co, relaxed
# total magnetic moment	0.000	Bohr magnetons per cell
# energy of formation from the pure elements	-102	meV per atom
# total energy	-5.201	eV/atom
data_Tb2Er2Co
_chemical_formula_sum 'Tb8 Er8 Co4'
_space_group_name_H-M_alt 'C 1 2/m 1'
_space_group_IT_number 12
_cell_length_a 12.353
_cell_length_b 3.628
_cell_length_c 12.627
_cell_angle_alpha 90.00
_cell_angle_beta 109.04
_cell_angle_gamma 90.00
loop_
_space_group_symop_operation_xyz
'x,y,z'
'-x,-y,-z'
'-x,y,-z'
'x,-y,z'
'x+1/2,y+1/2,z'
'-x+1/2,-y+1/2,-z'
'-x+1/2,y+1/2,-z'
'x+1/2,-y+1/2,z'
loop_
_atom_site_label
_atom_site_fract_x
_atom_site_fract_y
_atom_site_fract_z
Tb1 0.003 0.000 0.350
Tb2 0.150 0.500 0.180
Er1 0.122 0.000 0.929
Er2 0.195 0.500 0.585
Co1 0.168 0.500 0.789